w.
The following is a PBE-GGA calculation of TcSnMo after structural relaxation, from the Alexandria database.

DOS(E_F) = 10.27 states/eV/cell
Crystal system = monoclinic
Space group = No. 8

```
TcSnMo
1.0
-0.163 -6.288 0.422
2.944 -0.028 0.726
-2.503 3.766 10.294
Tc Sn Mo
4 4 4
direct
0.330 0.000 0.069
0.330 0.500 0.569
0.279 0.000 0.784
0.279 0.500 0.284
0.002 0.000 0.400
0.002 0.500 0.900
0.914 0.000 0.120
0.914 0.500 0.620
0.628 0.000 0.735
0.628 0.500 0.235
0.567 0.000 0.452
0.567 0.500 0.952
```



x.
The following is a PBE-GGA calculation of TcSnMo after structural relaxation, from the Alexandria database.

DOS(E_F) = 7.98 states/eV/cell
Crystal system = monoclinic
Space group = No. 12

```
TcSnMo
1.0
-0.202 -2.118 -6.001
-2.571 -1.767 0.710
-5.767 8.614 0.561
Tc Sn Mo
4 4 4
direct
0.162 0.000 0.328
0.838 0.000 0.672
0.162 0.500 0.828
0.838 0.500 0.172
0.000 0.000 0.000
0.000 0.500 0.500
0.500 0.500 0.500
0.500 0.000 0.000
0.336 0.000 0.678
0.664 0.000 0.322
0.336 0.500 0.178
0.664 0.500 0.822
```



y.
The following is a PBE-GGA calculation of TcSnMo after structural relaxation, from the Alexandria database.

DOS(E_F) = 3.88 states/eV/cell
Crystal system = monoclinic
Space group = No. 12

```
TcSnMo
1.0
-2.013 -1.903 -3.366
-0.340 -1.707 3.991
-4.585 5.551 -0.395
Tc Sn Mo
2 2 2
direct
0.064 0.629 0.694
0.936 0.371 0.306
0.790 0.080 0.870
0.210 0.920 0.130
0.362 0.224 0.586
0.638 0.776 0.414
```



z.
The following is a PBE-GGA calculation of TcSnMo after structural relaxation, from the Alexandria database.

DOS(E_F) = 3.62 states/eV/cell
Crystal system = trigonal
Space group = No. 156

```
TcSnMo
1.0
2.951 0.000 0.000
0.000 4.483 0.000
0.000 -2.241 3.882
Mo Sn Tc
1 1 1
direct
0.702 0.333 0.667
0.270 0.667 0.333
0.028 0.000 0.000
```



x comes first in stability; the runner-up is 2.5 kJ/mol of atoms higher.